No. 1
Computed, not measured: a relaxed structure of Ba2NdUSe6 at the PBE level of DFT.

Summary:
Crystal system = monoclinic
Raw total energy = -5.78 eV per atom
Formation energy from raw total energies = -1701 meV/atom

Cell and atoms, written as CIF:
```
data_Ba2NdUSe6
_symmetry_space_group_name_H-M 'P 1 21/c 1'
_symmetry_Int_Tables_number 14
_symmetry_space_group_name_Hall '-P 2ybc'
_cell_length_a 7.514
_cell_length_b 7.967
_cell_length_c 13.228
_cell_angle_alpha 90.00
_cell_angle_beta 124.44
_cell_angle_gamma 90.00
loop_
_atom_site_label
_atom_site_type_symbol
_atom_site_fract_x
_atom_site_fract_y
_atom_site_fract_z
_atom_site_occupancy
Ba1 Ba 0.226 0.076 0.250 1
Nd1 Nd 0.500 0.000 0.000 1
U1 U 0.000 0.000 0.500 1
Se1 Se 0.134 0.207 0.948 1
Se2 Se 0.247 0.690 0.951 1
Se3 Se 0.338 0.023 0.742 1
```

No. 2
Computed, not measured: a relaxed structure of Ba2NdYSe4 at the PBE level of DFT.

Summary:
Crystal system = monoclinic
Raw total energy = -5.53 eV per atom
Formation energy from raw total energies = -1899 meV/atom

Cell and atoms, written as CIF:
```
data_Ba2NdYSe4
_symmetry_space_group_name_H-M 'P 1 2/m 1'
_symmetry_Int_Tables_number 10
_symmetry_space_group_name_Hall '-P 2y'
_cell_length_a 7.525
_cell_length_b 4.350
_cell_length_c 7.822
_cell_angle_alpha 90.00
_cell_angle_beta 108.75
_cell_angle_gamma 90.00
loop_
_atom_site_label
_atom_site_type_symbol
_atom_site_fract_x
_atom_site_fract_y
_atom_site_fract_z
_atom_site_occupancy
Ba1 Ba 0.000 0.000 0.000 1
Ba2 Ba 0.500 0.500 0.000 1
Nd1 Nd 0.000 0.500 0.500 1
Y1 Y 0.500 0.000 0.500 1
Se1 Se 0.246 0.000 0.719 1
Se2 Se 0.267 0.500 0.284 1
```